(1)
A relaxed BeAuCl2 crystal, computed with GGA-PBE.

Unit cell a=4.308 b=4.308 c=8.936 alpha=90.00 beta=90.00 gamma=139.39
Sites, in units of the cell vectors:
Be 0.500 0.500 0.750
Cl 0.000 0.000 0.901
Cl 0.500 0.500 0.309
Au 0.000 0.000 0.540

Energy relative to the lowest polymorph listed for this composition in meV per atom: 274
DOS(E_F) in states/eV/cell: 0.9
Space group: No. 35
Total DFT energy (no corrections) in eV per atom: -3.036
Spin magnetization in μB/cell: 0.0
Raw formation energy in eV/atom: -0.36

---

(2)
A relaxed KNiSn2Se crystal, computed with GGA-PBE.

Unit cell a=5.935 b=4.515 c=5.935 alpha=90.00 beta=90.00 gamma=90.00
Sites, in units of the cell vectors:
Ni 0.000 0.500 0.000
Se 0.500 0.500 0.500
Sn 0.500 0.000 0.000
K 0.000 0.000 0.000
Sn 0.000 0.000 0.500

DOS(E_F) in states/eV/cell: 4.6
Space group: No. 123
Total DFT energy (no corrections) in eV per atom: -2.303
Spin magnetization in μB/cell: 0.0
Raw formation energy in eV/atom: 1.37

---

(3)
A relaxed Ce2MgF8 crystal, computed with GGA-PBE.

Unit cell a=4.758 b=6.185 c=6.185 alpha=73.57 beta=105.21 gamma=105.21
Sites, in units of the cell vectors:
F 0.267 0.324 0.951
F 0.775 0.131 0.131
Ce 0.369 0.677 0.677
Ce 0.631 0.323 0.323
F 0.800 0.583 0.583
F 0.733 0.049 0.676
F 0.225 0.869 0.869
Mg 0.000 0.000 0.000
F 0.733 0.676 0.049
F 0.200 0.417 0.417
F 0.267 0.951 0.324

Energy relative to the lowest polymorph listed for this composition in meV per atom: 0
DOS(E_F) in states/eV/cell: 11.7
Space group: No. 12
Total DFT energy (no corrections) in eV per atom: -6.431
Spin magnetization in μB/cell: 2.0
Raw formation energy in eV/atom: -3.85

---

Which value of spin magnetization does entry 3 give?
2.0 μB/cell